Entry 1:
DySc2Ru3 | PBE | relaxed

The structure in extended XYZ format:
```
6
Lattice="3.280 0.000 0.000 0.000 3.280 0.000 0.000 0.000 9.771" Properties=species:S:1:pos:R:3 pbc="T T T"
Dy 0.000 0.000 0.000
Sc 0.000 0.000 3.312
Sc 0.000 0.000 6.459
Ru 1.640 1.640 1.744
Ru 1.640 1.640 4.885
Ru 1.640 1.640 8.027
```

Computed properties:
SG   No. 123
E above lowest polymorph   0 meV/atom
ΔH_f (0 K)   -0.45 eV per atom

=====

Entry 2:
Er2InRu | PBE | relaxed

The structure in extended XYZ format:
```
12
Lattice="3.514 0.000 0.000 -1.757 3.043 0.000 0.000 0.000 27.207" Properties=species:S:1:pos:R:3 pbc="T T T"
Er 0.000 0.000 6.438
Er 0.000 0.000 20.769
Er 0.000 2.029 11.700
Er 0.000 2.029 24.576
Er 1.757 1.014 2.631
Er 1.757 1.014 15.507
In 0.000 0.000 0.000
In 0.000 2.029 18.138
In 1.757 1.014 9.069
Ru 0.000 0.000 13.603
Ru 0.000 2.029 4.534
Ru 1.757 1.014 22.672
```

Computed properties:
SG   No. 166
E above lowest polymorph   239 meV/atom
ΔH_f (0 K)   -0.26 eV per atom

=====

Entry 3:
PSe2IN | PBE | relaxed

The structure in extended XYZ format:
```
5
Lattice="5.378 0.000 0.000 0.000 5.378 0.000 0.000 0.000 3.325" Properties=species:S:1:pos:R:3 pbc="T T T"
P 0.000 0.000 0.000
Se 0.000 2.689 0.000
Se 2.689 0.000 0.000
I 2.689 2.689 1.662
N 0.000 0.000 1.662
```

Computed properties:
SG   No. 123
E above lowest polymorph   0 meV/atom
E_form (uncorrected)   3.7 eV per formula unit

=====

What is the formula in the first record? DySc2Ru3